{"formula": "GdMgNO", "functional": "PBE", "state": "optimized geometry", "lattice": [[4.783, 0.000, 0.000], [0.000, 4.783, 0.000], [0.000, 0.000, 4.564]], "species": ["Gd", "Gd", "Mg", "Mg", "N", "N", "O", "O"], "fractional_positions": [[0.250, 0.750, 0.000], [0.750, 0.250, 0.000], [0.250, 0.250, 0.500], [0.750, 0.750, 0.500], [0.250, 0.250, 0.003], [0.750, 0.750, 0.997], [0.250, 0.750, 0.500], [0.750, 0.250, 0.500]], "crystal_system": "tetragonal", "e_tot_ev_per_atom": -6.852}

{"formula": "ReI", "functional": "PBE", "state": "optimized geometry", "lattice": [[0.000, 2.804, 2.804], [2.804, 0.000, 2.804], [2.804, 2.804, 0.000]], "species": ["Re", "I"], "fractional_positions": [[0.000, 0.000, 0.000], [0.500, 0.500, 0.500]], "crystal_system": "cubic", "e_tot_ev_per_atom": -4.808}

{"formula": "TmSiPt", "functional": "PBE", "state": "optimized geometry", "lattice": [[7.019, 0.000, 0.000], [-3.509, 6.078, 0.000], [0.000, 0.000, 3.877]], "species": ["Tm", "Tm", "Tm", "Si", "Si", "Si", "Pt", "Pt", "Pt"], "fractional_positions": [[0.000, 0.591, 0.000], [0.409, 0.409, 0.000], [0.591, 0.000, 0.000], [0.000, 0.250, 0.500], [0.250, 0.000, 0.500], [0.750, 0.750, 0.500], [0.000, 0.000, 0.000], [0.333, 0.667, 0.500], [0.667, 0.333, 0.500]], "crystal_system": "hexagonal", "e_tot_ev_per_atom": -6.420}

{"formula": "HoCo6Ge4", "functional": "PBE", "state": "optimized geometry", "lattice": [[6.784, 0.000, 0.000], [-3.392, 5.875, 0.000], [0.000, 0.000, 3.692]], "species": ["Ho", "Co", "Co", "Co", "Co", "Co", "Co", "Ge", "Ge", "Ge", "Ge"], "fractional_positions": [[0.000, 0.000, 0.000], [0.206, 0.411, 0.500], [0.206, 0.794, 0.500], [0.535, 0.070, 0.000], [0.535, 0.465, 0.000], [0.589, 0.794, 0.500], [0.930, 0.465, 0.000], [0.333, 0.667, 0.000], [0.389, 0.195, 0.500], [0.805, 0.195, 0.500], [0.805, 0.611, 0.500]], "crystal_system": "hexagonal", "e_tot_ev_per_atom": -6.343}